The following is a GGA-PBEsol calculation of a relaxed structure of Sc11Os4, from Alexandria.

Calculated values
DFT formation energy	-5.39	eV per formula unit
DOS(E_F)	10.908	states/eV/f.u.
theoretical density	7.267	Mg/m³
E_tot	-0.31093	Ha/atom

POSCAR file:
```
Sc11Os4
1.0
9.327 0.000 0.000
4.664 8.078 0.000
4.664 2.693 7.616
Os Sc
8 22
direct
0.000 0.000 0.500
0.000 0.000 0.000
0.500 0.500 0.000
0.500 0.000 0.500
0.500 0.000 0.000
0.500 0.500 0.500
0.000 0.500 0.500
0.000 0.500 0.000
0.200 0.800 0.800
0.466 0.845 0.845
0.383 0.383 0.383
0.155 0.155 0.155
0.155 0.155 0.534
0.800 0.800 0.200
0.800 0.200 0.200
0.845 0.845 0.845
0.155 0.534 0.155
0.383 0.852 0.383
0.617 0.617 0.148
0.617 0.148 0.617
0.200 0.200 0.800
0.534 0.155 0.155
0.852 0.383 0.383
0.383 0.383 0.852
0.617 0.617 0.617
0.800 0.200 0.800
0.148 0.617 0.617
0.845 0.466 0.845
0.200 0.800 0.200
0.845 0.845 0.466
```

---

The following is a GGA-PBEsol calculation of a relaxed structure of ScOsSe3, from Alexandria.

Calculated values
DOS(E_F)	7.903	states/eV/f.u.
theoretical density	6.398	Mg/m³
E_tot	-0.19047	Ha/atom
energy relative to the elements, uncorrected	891	meV per atom

POSCAR file:
```
ScOsSe3
1.0
4.967 0.000 0.000
0.000 4.967 0.000
0.000 0.000 4.967
Se Os Sc
3 1 1
direct
0.500 0.000 0.000
0.000 0.000 0.500
0.000 0.500 0.000
0.500 0.500 0.500
0.000 0.000 0.000
```

---

The following is a GGA-PBEsol calculation of a relaxed structure of ScOsSe2, from Alexandria.

Calculated values
ΔE to the lowest computed polymorph	2.8	meV per atom
DOS(E_F)	1.603	states/eV/f.u.
theoretical density	8.764	Mg/m³
E_tot	-0.25449	Ha/atom
energy relative to the elements, uncorrected	-295	meV per atom

POSCAR file:
```
ScOsSe2
1.0
3.928 0.000 0.000
0.000 4.383 -0.030
0.000 -0.677 4.331
Sc Os Se
1 1 2
direct
0.500 0.000 0.000
0.500 0.500 0.500
0.000 0.282 0.718
0.000 0.718 0.282
```